Entry 1:
The following is a GGA-PBE calculation of a relaxed YSb2Os crystal, from the Alexandria database.

## Properties
Theoretical density: 8.42 g cm⁻³
Energy relative to the elements, uncorrected: -0.126 eV per atom

a = 6.9579 Å, b = 6.9579 Å, c = 6.9579 Å
α = 152.05°, β = 139.02°, γ = 50.33°
With the nearest neighbours (Å) after each atom.
Atoms (fractional coordinates):
Os: 0.2500 0.7500 0.5000  4 Sb 2.74, 4 Y 2.96
Sb: 0.0785 0.0785 0.0000  2 Os 2.74
Sb: 0.4215 0.4215 0.0000  2 Os 2.74
Y: 0.7500 0.2500 0.5000  4 Os 2.96, 4 Sb 3.26

Entry 2:
The following is a GGA-PBE calculation of a relaxed BaNaRuBr2 crystal, from the Alexandria database.

## Properties
Theoretical density: 5.01 g cm⁻³
Energy relative to the elements, uncorrected: -0.227 eV per atom

a = 5.2169 Å, b = 5.1325 Å, c = 5.2169 Å
α = 90.00°, β = 90.00°, γ = 90.00°
With the nearest neighbours (Å) after each atom.
Atoms (fractional coordinates):
Ru: 0.0000 0.0000 0.0000  2 Na 2.57, 4 Br 2.61
Ba: 0.5000 0.5000 0.5000  8 Br 3.66, 4 Na 3.69
Br: 0.0000 0.0000 0.5000  2 Ru 2.61
Br: 0.5000 0.0000 0.0000  2 Ru 2.61
Na: 0.0000 0.5000 0.0000  2 Ru 2.57

Entry 3:
The following is a GGA-PBE calculation of a relaxed BeSb2Au crystal, from the Alexandria database.

## Properties
Theoretical density: 8.58 g cm⁻³
Energy relative to the elements, uncorrected: 0.217 eV per atom

a = 7.3671 Å, b = 7.3671 Å, c = 7.3671 Å
α = 154.90°, β = 149.07°, γ = 40.24°
With the nearest neighbours (Å) after each atom.
Atoms (fractional coordinates):
Sb: 0.9552 0.9552 0.0000  4 Au 3.04, 4 Sb 3.20-3.25
Sb: 0.2678 0.7678 0.5000  4 Be 2.70
Au: 0.5771 0.5771 0.0000  2 Be 2.33
Be: 0.6998 0.1998 0.5000  2 Au 2.33

Entry 4:
The following is a GGA-PBE calculation of a relaxed NaSrAlZn crystal, from the Alexandria database.

## Properties
ΔH_f (0 K): -0.01 eV/atom
Theoretical density: 3.54 g cm⁻³

a = 5.1256 Å, b = 5.1256 Å, c = 5.1256 Å
α = 60.00°, β = 60.00°, γ = 60.00°
With the nearest neighbours (Å) after each atom.
Atoms (fractional coordinates):
Sr: 0.2500 0.2500 0.2500  4 Na 3.14, 4 Zn 3.14
Zn: 0.0000 0.0000 0.0000  4 Sr 3.14, 4 Al 3.14
Al: 0.7500 0.7500 0.7500  4 Na 3.14, 4 Zn 3.14
Na: 0.5000 0.5000 0.5000  4 Al 3.14, 4 Sr 3.14

Entry 5:
The following is a GGA-PBE calculation of a relaxed MgCuO3 crystal, from the Alexandria database.

## Properties
Theoretical density: 4.06 g cm⁻³
Energy relative to the elements, uncorrected: -0.329 eV per atom

a = 3.8155 Å, b = 3.8155 Å, c = 3.8155 Å
α = 90.00°, β = 90.00°, γ = 90.00°
With the nearest neighbours (Å) after each atom.
Atoms (fractional coordinates):
Mg: 0.0000 0.0000 0.0000  6 O 1.91
O: 0.0000 0.5000 0.0000  2 Mg 1.91
O: 0.0000 0.0000 0.5000  2 Mg 1.91
O: 0.5000 0.0000 0.0000  2 Mg 1.91
Cu: 0.5000 0.5000 0.5000  12 O 2.70

Entry 6:
The following is a GGA-PBE calculation of a relaxed DyMgCu crystal, from the Alexandria database.

## Properties
ΔH_f (0 K): -0.10 eV/atom
Theoretical density: 6.44 g cm⁻³

a = 3.3629 Å, b = 3.3629 Å, c = 6.1859 Å
α = 105.77°, β = 105.77°, γ = 90.00°
With the nearest neighbours (Å) after each atom.
Atoms (fractional coordinates):
Mg: 0.6453 0.6453 0.2907  4 Cu 2.81
Cu: 0.2758 0.2758 0.5515  4 Mg 2.81, 4 Dy 2.95
Dy: 0.9289 0.9289 0.8578  4 Cu 2.95, 1 Mg 3.24

In order of appearance, DFT total energy = -6.611, -3.400, -3.595, -2.015, -4.442, -3.532 eV/atom.